Compound: Be3TcPb
Source: Alexandria
Functional: GGA-PBE
Structure: optimized geometry

The structure in POSCAR format:
```
Be3TcPb
1.0
4.526 0.000 0.000
0.000 4.526 0.000
0.000 0.000 4.526
Be Tc Pb
3 1 1
direct
0.000 0.000 0.500
0.000 0.500 0.000
0.500 0.000 0.000
0.500 0.500 0.500
0.000 0.000 0.000
```

Summary:
- calculated volume (A^3/atom) = 18.540
- density (g/cm3) = 5.95
- polymorph energy (0 for the lowest one) (meV/atom) = 1100